Below is an optimized crystal structure of KBaTl2Cr, with properties calculated at the GGA-PBE level.

Computed properties:
- Magnetic moment: 4.515 Bohr magnetons per cell
- V: 56.3 A^3/atom
- Uncorrected energy: -11.912 eV/cell
- Formation energy from the elements: 1092.8 meV/atom

Cell lengths 6.4033, 6.4033, 6.8645 Å; angles 90.00, 90.00, 90.00 degrees
Last column: nearest neighbours and their distance in Å.
Sites, in units of the cell vectors:
K1 0.0000 0.0000 0.5000  2 Ba 3.43
Cr1 0.5000 0.5000 0.5000  4 K 4.53, 8 Tl 4.69
Tl1 0.0000 0.5000 0.0000  2 Ba 3.20
Tl2 0.5000 0.0000 0.0000  2 Ba 3.20
Ba1 0.0000 0.0000 0.0000  4 Tl 3.20, 2 K 3.43

=====

Below is an optimized crystal structure of Ba2LaCr, with properties calculated at the GGA-PBE level.

Computed properties:
- Energy relative to the lowest polymorph listed for this composition: 0.201 eV/atom
- Magnetic moment: 4.097 Bohr magnetons per cell
- V: 38.8 A^3/atom
- Uncorrected energy: -16.115 eV/cell
- Formation energy from the elements: 570.3 meV/atom

Cell lengths 6.0335, 6.0335, 6.0335 Å; angles 120.04, 120.04, 89.93 degrees
Last column: nearest neighbours and their distance in Å.
Sites, in units of the cell vectors:
Ba1 0.0000 0.0000 0.0000  4 Ba 3.69, 4 La 3.69
Ba2 0.2500 0.7500 0.5000  4 Ba 3.69, 4 Cr 3.69
Cr1 0.5000 0.5000 0.0000  4 La 3.69, 4 Ba 3.69
La1 0.7500 0.2500 0.5000  4 Ba 3.69, 4 Cr 3.69

=====

Below is an optimized crystal structure of Ba2LaCr, with properties calculated at the GGA-PBE level.

Computed properties:
- Energy relative to the lowest polymorph listed for this composition: 0.241 eV/atom
- Magnetic moment: 4.045 Bohr magnetons per cell
- V: 41.0 A^3/atom
- Uncorrected energy: -15.954 eV/cell
- Formation energy from the elements: 610.6 meV/atom

Cell lengths 5.4699, 4.0295, 7.9063 Å; angles 70.13, 90.00, 90.00 degrees
Last column: nearest neighbours and their distance in Å.
Sites, in units of the cell vectors:
Ba1 0.0000 0.0557 0.0189  2 Cr 3.52, 1 Ba 3.65, 2 La 3.91
Ba2 0.0000 0.4443 0.4811  2 Cr 3.52, 1 Ba 3.65, 2 La 3.91
Cr1 0.5000 0.2500 0.2500  4 Ba 3.52, 2 La 3.78
La1 0.5000 0.7500 0.7500  2 Cr 3.78, 8 Ba 3.91-3.97, 2 La 4.03

=====

Below is an optimized crystal structure of Ba2LaCr, with properties calculated at the GGA-PBE level.

Computed properties:
- Energy relative to the lowest polymorph listed for this composition: 0.170 eV/atom
- Magnetic moment: 3.768 Bohr magnetons per cell
- V: 42.0 A^3/atom
- Uncorrected energy: -16.236 eV/cell
- Formation energy from the elements: 540.0 meV/atom

Cell lengths 4.0739, 4.0739, 10.1172 Å; angles 90.00, 90.00, 90.00 degrees
Last column: nearest neighbours and their distance in Å.
Sites, in units of the cell vectors:
Ba1 0.0000 0.0000 0.0420  4 Cr 3.57
Ba2 0.0000 0.0000 0.4580  4 Cr 3.57
Cr1 0.5000 0.5000 0.2500  8 Ba 3.57
La1 0.5000 0.5000 0.7500  4 La 4.07, 8 Ba 4.13

=====

Among the records above, which one has the highest formation energy from the elements? KBaTl2Cr

=====

Among the records above, which one has the highest V? KBaTl2Cr

=====

magnetic moment of number 2 (Ba2LaCr)? 4.097 Bohr magnetons per cell